# 1
Computed, not measured: a relaxed AcNdPO crystal at the GGA-PBE level of DFT.

The space group is Pmc2_1 (No. 26) and the conventional cell measures 4.3614, 8.2986 and 5.8495 Å, with angles of 90.00, 90.00 and 90.00 degrees. The distinct sites, in fractional coordinates, are Ac at (0.0000, 0.1248, 0.0000), Nd at (0.5000, 0.3095, 0.4692), P at (0.5000, 0.3531, 0.9673) and O at (0.0000, 0.1825, 0.4287).

As for the energy above the lowest structure with this stoichiometry: 0.054 eV per atom. The electronic total energy comes out at -6.688 eV/atom.

---

# 2
Computed, not measured: a relaxed TmScCd6 crystal at the GGA-PBE level of DFT.

The space group is Amm2 (No. 38) and the conventional cell measures 4.7842, 7.0862 and 10.5279 Å, with angles of 90.00, 90.00 and 90.00 degrees. The distinct sites, in fractional coordinates, are Tm at (0.0000, 0.0000, 0.0000), Sc at (0.5000, 0.0000, 0.7393), Cd at (0.0000, 0.0000, 0.5514), Cd at (0.0000, 0.2202, 0.2729), Cd at (0.5000, 0.0000, 0.1932) and Cd at (0.5000, 0.2179, 0.4658).

The electronic total energy comes out at -2.265 eV/atom. The calculation puts the formation energy at -0.24 eV/atom.

---

# 3
Computed, not measured: a relaxed TlPAuO crystal at the GGA-PBE level of DFT.

The space group is P4/nmm (No. 129, origin choice 2) and the conventional cell measures 4.2018, 4.2018 and 8.8673 Å, with angles of 90.00, 90.00 and 90.00 degrees. The distinct sites, in fractional coordinates, are Tl at (0.2500, 0.2500, 0.1162), P at (0.2500, 0.2500, 0.6541), Au at (0.2500, 0.7500, 0.5000) and O at (0.2500, 0.7500, 0.0000).

As for the energy above the lowest structure with this stoichiometry: 0.040 eV per atom. The electronic total energy comes out at -3.976 eV/atom.

---

# 4
Computed, not measured: a relaxed MgTaIr2 crystal at the GGA-PBE level of DFT.

The space group is P6_3/mmc (No. 194) and the conventional cell measures 4.3265, 4.3265 and 8.5632 Å, with angles of 90.00, 90.00 and 120.00 degrees. The distinct sites, in fractional coordinates, are Mg at (0.3333, 0.6667, 0.2500), Ta at (0.0000, 0.0000, 0.0000) and Ir at (0.3333, 0.6667, 0.5988).

As for the energy above the lowest structure with this stoichiometry: 0.252 eV per atom. The electronic total energy comes out at -8.138 eV/atom.

---

# 5
Computed, not measured: a relaxed ZrRe2Tc crystal at the GGA-PBE level of DFT.

The space group is F-43m (No. 216) and the conventional cell measures 6.3647, 6.3647 and 6.3647 Å, with angles of 90.00, 90.00 and 90.00 degrees. The distinct sites, in fractional coordinates, are Zr at (0.0000, 0.0000, 0.0000), Re at (0.0000, 0.0000, 0.5000), Re at (0.2500, 0.2500, 0.2500) and Tc at (0.2500, 0.2500, 0.7500).

The electronic total energy comes out at -10.975 eV/atom. The calculation puts the formation energy at -0.04 eV/atom.

---

# 6
Computed, not measured: a relaxed Sc2ZnAu crystal at the GGA-PBE level of DFT.

The space group is P6_3/mmc (No. 194) and the conventional cell measures 4.3874, 4.3874 and 10.1488 Å, with angles of 90.00, 90.00 and 120.00 degrees. The distinct sites, in fractional coordinates, are Sc at (0.3333, 0.6667, 0.1031), Zn at (0.0000, 0.0000, 0.0000) and Au at (0.3333, 0.6667, 0.7500).

The electronic total energy comes out at -4.498 eV/atom. The calculation puts the formation energy at -0.20 eV/atom.

---

# 7
Computed, not measured: a relaxed Y4Ga3W2N3 crystal at the GGA-PBE level of DFT.

The space group is C2/c (No. 15) and the conventional cell measures 10.0339, 5.8635 and 13.9250 Å, with angles of 90.00, 103.77 and 90.00 degrees. The distinct sites, in fractional coordinates, are Y at (0.1166, 0.0799, 0.1028), Y at (0.2143, 0.0874, 0.3971), Ga at (0.0000, 0.1639, 0.7500), Ga at (0.1282, 0.4547, 0.2486), W at (0.0644, 0.4114, 0.9255), N at (0.0791, 0.2627, 0.5000) and N at (0.2500, 0.2500, 0.0000).

The electronic total energy comes out at -7.965 eV/atom.

---

# 8
Computed, not measured: a relaxed NpH2Br8 crystal at the GGA-PBE level of DFT.

The space group is C2/m (No. 12) and the conventional cell measures 12.8264, 9.6659 and 6.6768 Å, with angles of 90.00, 90.13 and 90.00 degrees. The distinct sites, in fractional coordinates, are Np at (0.0000, 0.0000, 0.0000), H at (0.2277, 0.5000, 0.7315), Br at (0.0888, 0.1917, 0.2207), Br at (0.1166, 0.5000, 0.6974) and Br at (0.1629, 0.0000, 0.7630).

The electronic total energy comes out at -3.676 eV/atom.

---

# 9
Computed, not measured: a relaxed ScUHg crystal at the GGA-PBE level of DFT.

The space group is F-43m (No. 216) and the conventional cell measures 6.9651, 6.9651 and 6.9651 Å, with angles of 90.00, 90.00 and 90.00 degrees. The distinct sites, in fractional coordinates, are Sc at (0.0000, 0.0000, 0.0000), U at (0.2500, 0.2500, 0.2500) and Hg at (0.0000, 0.0000, 0.5000).

As for the energy above the lowest structure with this stoichiometry: 0.318 eV per atom. The electronic total energy comes out at -5.034 eV/atom. The calculation puts the formation energy at 0.94 eV/atom.

---

# 10
Computed, not measured: a relaxed Li2DySiSe4 crystal at the GGA-PBE level of DFT.

The space group is Cm (No. 8) and the conventional cell measures 7.2746, 10.3963 and 5.6764 Å, with angles of 90.00, 129.79 and 90.00 degrees. The distinct sites, in fractional coordinates, are Li at (0.0000, 0.2501, 0.0000), Dy at (0.0906, 0.0000, 0.4973), Si at (0.0558, 0.5000, 0.4983), Se at (0.0581, 0.5000, 0.0834), Se at (0.4610, 0.2260, 0.4991) and Se at (0.4728, 0.5000, 0.9118).

The electronic total energy comes out at -4.487 eV/atom.

---

# 11
Computed, not measured: a relaxed LuZrZnCo crystal at the GGA-PBE level of DFT.

The space group is F-43m (No. 216) and the conventional cell measures 6.4880, 6.4880 and 6.4880 Å, with angles of 90.00, 90.00 and 90.00 degrees. The distinct sites, in fractional coordinates, are Lu at (0.0000, 0.0000, 0.0000), Zr at (0.2500, 0.2500, 0.7500), Zn at (0.2500, 0.2500, 0.2500) and Co at (0.0000, 0.0000, 0.5000).

As for the energy above the lowest structure with this stoichiometry: 0.000 eV per atom. The electronic total energy comes out at -5.386 eV/atom. The calculation puts the formation energy at -0.03 eV/atom.

---

# 12
Computed, not measured: a relaxed TmTcNO crystal at the GGA-PBE level of DFT.

The space group is Pca2_1 (No. 29) and the conventional cell measures 6.0141, 7.4887 and 4.7702 Å, with angles of 90.00, 90.00 and 90.00 degrees. The distinct sites, in fractional coordinates, are Tm at (0.0617, 0.1491, 0.0000), Tc at (0.1434, 0.6628, 0.9957), N at (0.0643, 0.1400, 0.5015) and O at (0.0187, 0.5689, 0.6034).

As for the energy above the lowest structure with this stoichiometry: 0.586 eV per atom. The electronic total energy comes out at -8.189 eV/atom.

---

# 13
Computed, not measured: a relaxed Sr2YReN6 crystal at the GGA-PBE level of DFT.

The space group is R-3 (No. 148, hexagonal axes) and the conventional cell measures 5.8356, 5.8356 and 15.3415 Å, with angles of 90.00, 90.00 and 120.00 degrees. The distinct sites, in fractional coordinates, are Sr at (0.0000, 0.0000, 0.2427), Y at (0.0000, 0.0000, 0.0000), Re at (0.0000, 0.0000, 0.5000) and N at (0.0208, 0.5067, 0.2416).

As for the energy above the lowest structure with this stoichiometry: 0.013 eV per atom. The electronic total energy comes out at -7.362 eV/atom.

---

# 14
Computed, not measured: a relaxed Nb2FeAg crystal at the GGA-PBE level of DFT.

The space group is F-43m (No. 216) and the conventional cell measures 6.3398, 6.3398 and 6.3398 Å, with angles of 90.00, 90.00 and 90.00 degrees. The distinct sites, in fractional coordinates, are Nb at (0.0000, 0.0000, 0.0000), Nb at (0.2500, 0.2500, 0.2500), Fe at (0.0000, 0.0000, 0.5000) and Ag at (0.2500, 0.2500, 0.7500).

The electronic total energy comes out at -7.387 eV/atom. The calculation puts the formation energy at 0.44 eV/atom.

---

# 15
Computed, not measured: a relaxed Zr3Ta crystal at the GGA-PBE level of DFT.

The space group is Cmcm (No. 63) and the conventional cell measures 6.0988, 11.2531 and 5.0921 Å, with angles of 90.00, 90.00 and 90.00 degrees. The distinct sites, in fractional coordinates, are Zr at (0.0000, 0.0696, 0.2500), Zr at (0.2446, 0.3222, 0.2500) and Ta at (0.0000, 0.4379, 0.7500).

As for the energy above the lowest structure with this stoichiometry: 0.029 eV per atom. The electronic total energy comes out at -9.243 eV/atom. The calculation puts the formation energy at 0.13 eV/atom.

---

# 16
Computed, not measured: a relaxed Gd2TmAl3CuSi2 crystal at the GGA-PBE level of DFT.

The space group is Amm2 (No. 38) and the conventional cell measures 4.1843, 11.9714 and 6.9393 Å, with angles of 90.00, 90.00 and 90.00 degrees. The distinct sites, in fractional coordinates, are Gd at (0.0000, 0.2030, 0.0000), Tm at (0.0000, 0.0000, 0.6100), Al at (0.5000, 0.0000, 0.9664), Al at (0.5000, 0.1182, 0.3235), Cu at (0.0000, 0.0000, 0.2099) and Si at (0.5000, 0.1640, 0.7025).

The electronic total energy comes out at -5.027 eV/atom.

---

# 17
Computed, not measured: a relaxed Cu7Ag3 crystal at the GGA-PBE level of DFT.

The space group is P2/m (No. 10) and the conventional cell measures 6.5738, 2.7406 and 7.8100 Å, with angles of 90.00, 103.33 and 90.00 degrees. The distinct sites, in fractional coordinates, are Cu at (0.0000, 0.0000, 0.0000), Cu at (0.2114, 0.0000, 0.6186), Cu at (0.3013, 0.5000, 0.9044), Cu at (0.4074, 0.0000, 0.1811), Ag at (0.0983, 0.5000, 0.2998) and Ag at (0.5000, 0.5000, 0.5000).

As for the energy above the lowest structure with this stoichiometry: 0.042 eV per atom. The electronic total energy comes out at -3.363 eV/atom. The calculation puts the formation energy at 0.09 eV/atom.

---

# 18
Computed, not measured: a relaxed CsZr3 crystal at the GGA-PBE level of DFT.

The space group is Cmcm (No. 63) and the conventional cell measures 6.7554, 11.6312 and 5.4494 Å, with angles of 90.00, 90.00 and 90.00 degrees. The distinct sites, in fractional coordinates, are Cs at (0.0000, 0.0850, 0.2500), Zr at (0.0000, 0.4157, 0.7500) and Zr at (0.2267, 0.3286, 0.2500).

The electronic total energy comes out at -5.683 eV/atom.

---

# 19
Computed, not measured: a relaxed LaPaNb crystal at the GGA-PBE level of DFT.

The space group is F-43m (No. 216) and the conventional cell measures 7.0144, 7.0144 and 7.0144 Å, with angles of 90.00, 90.00 and 90.00 degrees. The distinct sites, in fractional coordinates, are La at (0.0000, 0.0000, 0.0000), Pa at (0.0000, 0.0000, 0.5000) and Nb at (0.2500, 0.2500, 0.2500).

As for the energy above the lowest structure with this stoichiometry: 0.000 eV per atom. The electronic total energy comes out at -7.443 eV/atom. The calculation puts the formation energy at 0.73 eV/atom.

---

# 20
Computed, not measured: a relaxed Li2HfIn crystal at the GGA-PBE level of DFT.

The space group is F-43m (No. 216) and the conventional cell measures 6.7192, 6.7192 and 6.7192 Å, with angles of 90.00, 90.00 and 90.00 degrees. The distinct sites, in fractional coordinates, are Li at (0.0000, 0.0000, 0.0000), Li at (0.2500, 0.2500, 0.2500), Hf at (0.2500, 0.2500, 0.7500) and In at (0.0000, 0.0000, 0.5000).

The electronic total energy comes out at -4.074 eV/atom.

---

# 21
Computed, not measured: a relaxed Nd2Sm2C2IBr2Cl2 crystal at the GGA-PBE level of DFT.

The space group is C2/m (No. 12) and the conventional cell measures 18.9739, 3.9189 and 8.5183 Å, with angles of 90.00, 105.45 and 90.00 degrees. The distinct sites, in fractional coordinates, are Nd at (0.1613, 0.0000, 0.0993), Sm at (0.0007, 0.5000, 0.8095), C at (0.0383, 0.0000, 0.0235), I at (0.0000, 0.0000, 0.5000), Br at (0.1631, 0.5000, 0.3596) and Cl at (0.1677, 0.5000, 0.8545).

As for the energy above the lowest structure with this stoichiometry: 0.021 eV per atom. The electronic total energy comes out at -5.560 eV/atom.

---

# 22
Computed, not measured: a relaxed YMgCu crystal at the GGA-PBE level of DFT.

The space group is P6_3mc (No. 186) and the conventional cell measures 4.9559, 4.9559 and 5.9793 Å, with angles of 90.00, 90.00 and 120.00 degrees. The distinct sites, in fractional coordinates, are Y at (0.3333, 0.6667, 0.0000), Mg at (0.0000, 0.0000, 0.2507) and Cu at (0.3333, 0.6667, 0.4994).

As for the energy above the lowest structure with this stoichiometry: 0.040 eV per atom. The electronic total energy comes out at -4.087 eV/atom.

---

# 23
Computed, not measured: a relaxed FeHgBAu crystal at the GGA-PBE level of DFT.

The space group is F-43m (No. 216) and the conventional cell measures 6.2510, 6.2510 and 6.2510 Å, with angles of 90.00, 90.00 and 90.00 degrees. The distinct sites, in fractional coordinates, are Fe at (0.0000, 0.0000, 0.0000), Hg at (0.2500, 0.2500, 0.2500), B at (0.2500, 0.2500, 0.7500) and Au at (0.0000, 0.0000, 0.5000).

The electronic total energy comes out at -3.601 eV/atom.